# Cs12Te3F5 (PBE, optimized geometry)
# Total energy   -254.960 eV per cell
# Total magnetization   0.0 Bohr magnetons per cell
# E_form (uncorrected)   -1.7358 eV/atom
data_Cs12Te3F5
_symmetry_space_group_name_H-M 'P 1'
_symmetry_Int_Tables_number 1
_symmetry_space_group_name_Hall 'P 1'
_cell_length_a 17.017
_cell_length_b 17.017
_cell_length_c 17.017
_cell_angle_alpha 109.47
_cell_angle_beta 109.47
_cell_angle_gamma 109.47
loop_
_atom_site_label
_atom_site_type_symbol
_atom_site_fract_x
_atom_site_fract_y
_atom_site_fract_z
Cs1 Cs 0.021 0.202 0.119
Cs2 Cs 0.021 0.319 0.903
Cs3 Cs 0.084 0.702 0.681
Cs4 Cs 0.084 0.881 0.403
Cs5 Cs 0.097 0.619 0.416
Cs6 Cs 0.097 0.979 0.681
Cs7 Cs 0.119 0.021 0.202
Cs8 Cs 0.119 0.597 0.916
Cs9 Cs 0.181 0.202 0.584
Cs10 Cs 0.181 0.479 0.597
Cs11 Cs 0.202 0.119 0.021
Cs12 Cs 0.202 0.584 0.181
Cs13 Cs 0.298 0.319 0.916
Cs14 Cs 0.298 0.479 0.381
Cs15 Cs 0.319 0.903 0.021
Cs16 Cs 0.319 0.916 0.298
Cs17 Cs 0.381 0.298 0.479
Cs18 Cs 0.381 0.584 0.903
Cs19 Cs 0.403 0.084 0.881
Cs20 Cs 0.403 0.819 0.521
Cs21 Cs 0.416 0.097 0.619
Cs22 Cs 0.416 0.819 0.798
Cs23 Cs 0.479 0.381 0.298
Cs24 Cs 0.479 0.597 0.181
Cs25 Cs 0.521 0.403 0.819
Cs26 Cs 0.521 0.619 0.702
Cs27 Cs 0.584 0.181 0.202
Cs28 Cs 0.584 0.903 0.381
Cs29 Cs 0.597 0.181 0.479
Cs30 Cs 0.597 0.916 0.119
Cs31 Cs 0.619 0.416 0.097
Cs32 Cs 0.619 0.702 0.521
Cs33 Cs 0.681 0.084 0.702
Cs34 Cs 0.681 0.097 0.979
Cs35 Cs 0.702 0.521 0.619
Cs36 Cs 0.702 0.681 0.084
Cs37 Cs 0.798 0.416 0.819
Cs38 Cs 0.798 0.881 0.979
Cs39 Cs 0.819 0.521 0.403
Cs40 Cs 0.819 0.798 0.416
Cs41 Cs 0.881 0.403 0.084
Cs42 Cs 0.881 0.979 0.798
Cs43 Cs 0.903 0.021 0.319
Cs44 Cs 0.903 0.381 0.584
Cs45 Cs 0.916 0.119 0.597
Cs46 Cs 0.916 0.298 0.319
Cs47 Cs 0.979 0.681 0.097
Cs48 Cs 0.979 0.798 0.881
Te1 Te 0.125 0.250 0.375
Te2 Te 0.125 0.375 0.750
Te3 Te 0.250 0.375 0.125
Te4 Te 0.250 0.875 0.625
Te5 Te 0.375 0.125 0.250
Te6 Te 0.375 0.750 0.125
Te7 Te 0.625 0.250 0.875
Te8 Te 0.625 0.875 0.750
Te9 Te 0.750 0.125 0.375
Te10 Te 0.750 0.625 0.875
Te11 Te 0.875 0.625 0.250
Te12 Te 0.875 0.750 0.625
F1 F 0.000 0.000 0.000
F2 F 0.000 0.000 0.500
F3 F 0.000 0.500 0.000
F4 F 0.000 0.500 0.500
F5 F 0.125 0.750 0.875
F6 F 0.125 0.875 0.250
F7 F 0.250 0.125 0.875
F8 F 0.250 0.625 0.375
F9 F 0.375 0.250 0.625
F10 F 0.375 0.625 0.750
F11 F 0.500 0.000 0.000
F12 F 0.500 0.000 0.500
F13 F 0.500 0.500 0.000
F14 F 0.500 0.500 0.500
F15 F 0.625 0.375 0.250
F16 F 0.625 0.750 0.375
F17 F 0.750 0.375 0.625
F18 F 0.750 0.875 0.125
F19 F 0.875 0.125 0.750
F20 F 0.875 0.250 0.125

# CsTe2F7 (PBE, optimized geometry)
# Total energy   -40.101 eV per cell
# Total magnetization   0.0 Bohr magnetons per cell
# E_form (uncorrected)   -1.9865 eV/atom
data_CsTe2F7
_symmetry_space_group_name_H-M 'P 1'
_symmetry_Int_Tables_number 1
_symmetry_space_group_name_Hall 'P 1'
_cell_length_a 7.716
_cell_length_b 7.716
_cell_length_c 4.434
_cell_angle_alpha 90.00
_cell_angle_beta 90.00
_cell_angle_gamma 124.78
loop_
_atom_site_label
_atom_site_type_symbol
_atom_site_fract_x
_atom_site_fract_y
_atom_site_fract_z
Cs1 Cs 0.000 0.000 0.000
Te1 Te 0.335 0.665 0.500
Te2 Te 0.665 0.335 0.500
F1 F 0.070 0.358 0.500
F2 F 0.341 0.659 0.000
F3 F 0.358 0.070 0.500
F4 F 0.500 0.500 0.500
F5 F 0.642 0.930 0.500
F6 F 0.659 0.341 0.000
F7 F 0.930 0.642 0.500

# CsTeF6 (PBE, optimized geometry)
# Total energy   -33.424 eV per cell
# ΔE to the lowest computed polymorph   20 meV/atom
# Total magnetization   0.9 Bohr magnetons per cell
# E_form (uncorrected)   -2.2751 eV/atom
data_CsTeF6
_symmetry_space_group_name_H-M 'P 1'
_symmetry_Int_Tables_number 1
_symmetry_space_group_name_Hall 'P 1'
_cell_length_a 6.465
_cell_length_b 6.465
_cell_length_c 6.465
_cell_angle_alpha 54.52
_cell_angle_beta 54.52
_cell_angle_gamma 54.52
loop_
_atom_site_label
_atom_site_type_symbol
_atom_site_fract_x
_atom_site_fract_y
_atom_site_fract_z
Cs1 Cs 0.000 0.000 0.000
Te1 Te 0.500 0.500 0.500
F1 F 0.116 0.587 0.587
F2 F 0.413 0.413 0.884
F3 F 0.413 0.884 0.413
F4 F 0.587 0.116 0.587
F5 F 0.587 0.587 0.116
F6 F 0.884 0.413 0.413

# CsTeF4 (PBE, optimized geometry)
# Total energy   -48.672 eV per cell
# Total magnetization   0.0 Bohr magnetons per cell
# E_form (uncorrected)   -2.1426 eV/atom
data_CsTeF4
_symmetry_space_group_name_H-M 'P 1'
_symmetry_Int_Tables_number 1
_symmetry_space_group_name_Hall 'P 1'
_cell_length_a 8.566
_cell_length_b 8.566
_cell_length_c 6.631
_cell_angle_alpha 90.00
_cell_angle_beta 90.00
_cell_angle_gamma 145.85
loop_
_atom_site_label
_atom_site_type_symbol
_atom_site_fract_x
_atom_site_fract_y
_atom_site_fract_z
Cs1 Cs 0.140 0.860 0.750
Cs2 Cs 0.860 0.140 0.250
Te1 Te 0.405 0.595 0.750
Te2 Te 0.595 0.405 0.250
F1 F 0.098 0.902 0.250
F2 F 0.318 0.682 0.535
F3 F 0.318 0.682 0.965
F4 F 0.500 0.500 0.000
F5 F 0.500 0.500 0.500
F6 F 0.682 0.318 0.035
F7 F 0.682 0.318 0.465
F8 F 0.902 0.098 0.750

# Cs4Te2F (PBE, optimized geometry)
# Total energy   -19.645 eV per cell
# Total magnetization   1.1 Bohr magnetons per cell
# E_form (uncorrected)   -1.1537 eV/atom
data_Cs4Te2F
_symmetry_space_group_name_H-M 'P 1'
_symmetry_Int_Tables_number 1
_symmetry_space_group_name_Hall 'P 1'
_cell_length_a 11.825
_cell_length_b 11.825
_cell_length_c 11.825
_cell_angle_alpha 152.50
_cell_angle_beta 152.50
_cell_angle_gamma 39.29
loop_
_atom_site_label
_atom_site_type_symbol
_atom_site_fract_x
_atom_site_fract_y
_atom_site_fract_z
Cs1 Cs 0.000 0.500 0.500
Cs2 Cs 0.187 0.187 0.000
Cs3 Cs 0.500 0.000 0.500
Cs4 Cs 0.813 0.813 0.000
Te1 Te 0.360 0.360 0.000
Te2 Te 0.640 0.640 0.000
F1 F 0.500 0.500 0.000

# Cs3TeF8 (PBE, optimized geometry)
# Total energy   -49.457 eV per cell
# Total magnetization   0.7 Bohr magnetons per cell
# E_form (uncorrected)   -2.3987 eV/atom
data_Cs3TeF8
_symmetry_space_group_name_H-M 'P 1'
_symmetry_Int_Tables_number 1
_symmetry_space_group_name_Hall 'P 1'
_cell_length_a 6.999
_cell_length_b 6.999
_cell_length_c 6.999
_cell_angle_alpha 117.38
_cell_angle_beta 117.38
_cell_angle_gamma 94.60
loop_
_atom_site_label
_atom_site_type_symbol
_atom_site_fract_x
_atom_site_fract_y
_atom_site_fract_z
Cs1 Cs 0.000 0.000 0.000
Cs2 Cs 0.250 0.750 0.500
Cs3 Cs 0.750 0.250 0.500
Te1 Te 0.500 0.500 0.000
F1 F 0.197 0.197 0.758
F2 F 0.241 0.632 0.000
F3 F 0.368 0.368 0.609
F4 F 0.439 0.439 0.242
F5 F 0.561 0.803 0.000
F6 F 0.632 0.241 0.000
F7 F 0.759 0.759 0.391
F8 F 0.803 0.561 0.000

# CsTe2F (PBE, optimized geometry)
# Total energy   -9.341 eV per cell
# ΔE to the lowest computed polymorph   686 meV/atom
# Total magnetization   0.0 Bohr magnetons per cell
# E_form (uncorrected)   -0.0831 eV/atom
data_CsTe2F
_symmetry_space_group_name_H-M 'P 1'
_symmetry_Int_Tables_number 1
_symmetry_space_group_name_Hall 'P 1'
_cell_length_a 5.667
_cell_length_b 5.667
_cell_length_c 5.667
_cell_angle_alpha 60.00
_cell_angle_beta 60.00
_cell_angle_gamma 60.00
loop_
_atom_site_label
_atom_site_type_symbol
_atom_site_fract_x
_atom_site_fract_y
_atom_site_fract_z
Cs1 Cs 0.000 0.000 0.000
Te1 Te 0.250 0.250 0.250
Te2 Te 0.750 0.750 0.750
F1 F 0.500 0.500 0.500

# Cs8TeF6 (PBE, optimized geometry)
# Total energy   -55.187 eV per cell
# Total magnetization   0.2 Bohr magnetons per cell
# E_form (uncorrected)   -2.2659 eV/atom
data_Cs8TeF6
_symmetry_space_group_name_H-M 'P 1'
_symmetry_Int_Tables_number 1
_symmetry_space_group_name_Hall 'P 1'
_cell_length_a 8.279
_cell_length_b 8.279
_cell_length_c 8.279
_cell_angle_alpha 91.17
_cell_angle_beta 91.17
_cell_angle_gamma 91.17
loop_
_atom_site_label
_atom_site_type_symbol
_atom_site_fract_x
_atom_site_fract_y
_atom_site_fract_z
Cs1 Cs 0.120 0.775 0.347
Cs2 Cs 0.225 0.225 0.225
Cs3 Cs 0.225 0.653 0.880
Cs4 Cs 0.347 0.120 0.775
Cs5 Cs 0.653 0.880 0.225
Cs6 Cs 0.775 0.347 0.120
Cs7 Cs 0.775 0.775 0.775
Cs8 Cs 0.880 0.225 0.653
Te1 Te 0.500 0.500 0.500
F1 F 0.080 0.895 0.671
F2 F 0.105 0.329 0.920
F3 F 0.329 0.920 0.105
F4 F 0.671 0.080 0.895
F5 F 0.895 0.671 0.080
F6 F 0.920 0.105 0.329